[1]
VASP calculation (PBE) on a relaxed YTlGe2P crystal.

ΔE_f ... 0.283 eV per atom
Fermi-level density of states ... 0.539 states/eV/atom
E ... -4.412 eV per atom

Unit cell a=4.854 b=4.854 c=5.290 alpha=90.00 beta=90.00 gamma=90.00
Space group P4/mmm (No. 123)
Asymmetric unit:
Y (0.000, 0.000, 0.000) [1 per cell]
Tl (0.500, 0.500, 0.000) [1 per cell]
Ge (0.000, 0.500, 0.500) [2 per cell]
P (0.500, 0.500, 0.500) [1 per cell]

---

[2]
VASP calculation (PBE) on a relaxed Ca2EuTh crystal.

ΔE_f ... 0.171 eV per atom
Fermi-level density of states ... 1.490 states/eV/atom
E ... -5.254 eV per atom

Unit cell a=3.666 b=3.666 c=11.426 alpha=90.00 beta=90.00 gamma=90.00
Space group P4/mmm (No. 123)
Asymmetric unit:
Ca (0.000, 0.000, 0.233) [2 per cell]
Eu (0.500, 0.500, 0.500) [1 per cell]
Th (0.500, 0.500, 0.000) [1 per cell]

---

[3]
VASP calculation (PBE) on a relaxed LiCe5Pb4 crystal.

ΔE_f ... -0.071 eV per atom
Fermi-level density of states ... 2.268 states/eV/atom
E ... -4.712 eV per atom

Unit cell a=17.719 b=3.534 c=9.102 alpha=90.00 beta=94.04 gamma=90.00
Space group C2/m (No. 12)
Asymmetric unit:
Li (0.000, 0.000, 0.000) [2 per cell]
Ce (0.000, 0.000, 0.500) [2 per cell]
Ce (0.158, 0.500, 0.258) [4 per cell]
Ce (0.175, 0.500, 0.560) [4 per cell]
Pb (0.031, 0.500, 0.789) [4 per cell]
Pb (0.176, 0.000, 0.914) [4 per cell]

---

[4]
VASP calculation (PBE) on a relaxed YMo crystal.

ΔE_f ... 0.453 eV per atom
Fermi-level density of states ... 1.318 states/eV/atom
E ... -8.194 eV per atom

Unit cell a=3.3485 b=3.3485 c=14.4922 alpha=90.00 beta=90.00 gamma=120.00
Space group P-6m2 (No. 187)
Asymmetric unit:
Y (0.0000, 0.0000, 0.0000) [1 per cell]
Y (0.6667, 0.3333, 0.2130) [2 per cell]
Mo (0.0000, 0.0000, 0.3772) [2 per cell]
Mo (0.6667, 0.3333, 0.5000) [1 per cell]

---

[5]
VASP calculation (PBE) on a relaxed Ga5Sn crystal.

ΔE_f ... 0.025 eV per atom
Fermi-level density of states ... 0.276 states/eV/atom
E ... -3.165 eV per atom

Unit cell a=4.754 b=12.260 c=4.213 alpha=90.00 beta=90.00 gamma=90.00
Space group Cmmm (No. 65)
Asymmetric unit:
Ga (0.000, 0.000, 0.000) [2 per cell]
Ga (0.000, 0.166, 0.500) [4 per cell]
Ga (0.000, 0.320, 0.000) [4 per cell]
Sn (0.000, 0.500, 0.500) [2 per cell]

---

[6]
VASP calculation (PBE) on a relaxed TaHN2O crystal.

Fermi-level density of states ... 0.177 states/eV/atom
E ... -6.926 eV per atom

Unit cell a=3.056 b=3.056 c=3.953 alpha=90.00 beta=90.00 gamma=90.00
Space group P4/mmm (No. 123)
Asymmetric unit:
Ta (0.000, 0.000, 0.000) [1 per cell]
H (0.500, 0.500, 0.500) [1 per cell]
N (0.000, 0.500, 0.500) [2 per cell]
O (0.500, 0.500, 0.000) [1 per cell]